# ZnCuRe2 (GGA-PBE, optimized geometry)
# - Energy of formation from the pure elements: 0.2083 eV per atom
# - Energy above the lowest structure with this stoichiometry: 0.1493 eV per atom
# - DOS at the Fermi energy: 2.24 states/eV per cell
# - V: 14.37 Å³/atom
# - Crystal system: orthorhombic
# - Magnetic moment: 0.00 μB/atom
data_ZnCuRe2
_cell_length_a 2.736
_cell_length_b 3.897
_cell_length_c 5.390
_cell_angle_alpha 90.00
_cell_angle_beta 90.00
_cell_angle_gamma 90.00
_space_group_name_H-M_alt 'P m m 2'
_space_group_IT_number 25
loop_
_space_group_symop_operation_xyz
'x,y,z'
'-x,-y,z'
'-x,y,z'
'x,-y,z'
loop_
_atom_site_label
_atom_site_type_symbol
_atom_site_fract_x
_atom_site_fract_y
_atom_site_fract_z
Zn1 Zn 0.000 0.000 0.000
Cu1 Cu 0.500 0.500 0.211
Re1 Re 0.000 0.000 0.499
Re2 Re 0.500 0.500 0.708